{
  "formula": "LaSi2Cl",
  "functional": "PBE",
  "state": "optimized geometry",
  "lattice_angstrom": [[3.414, -1.971, 0.000], [3.414, 1.971, 0.000], [-2.212, 0.000, 8.336]],
  "species": ["La", "Si", "Si", "Cl"],
  "fractional_positions": [[0.000, 0.000, 0.000], [0.441, 0.441, 0.331], [0.744, 0.744, 0.239], [0.263, 0.263, 0.783]],
  "spacegroup": "Cm (8)",
  "mass_density_g_cm3": 3.411,
  "energy_ev_per_cell": -21.126
}

{
  "formula": "LaSiCl2",
  "functional": "PBE",
  "state": "optimized geometry",
  "lattice_angstrom": [[5.091, 0.000, 0.000], [0.000, 2.014, 4.917], [0.000, -2.014, 4.917]],
  "species": ["La", "Si", "Cl", "Cl"],
  "fractional_positions": [[0.000, 0.000, 0.000], [0.500, 0.595, 0.595], [0.000, 0.290, 0.290], [0.500, 0.828, 0.828]],
  "spacegroup": "Amm2 (38)",
  "mass_density_g_cm3": 3.918,
  "energy_ev_per_cell": -18.532
}

{
  "formula": "LaSi2Cl",
  "functional": "PBE",
  "state": "optimized geometry",
  "lattice_angstrom": [[-2.542, 2.542, 3.494], [2.542, -2.542, 3.494], [2.542, 2.542, -3.494]],
  "species": ["La", "Si", "Si", "Cl"],
  "fractional_positions": [[0.000, 0.000, 0.000], [0.500, 0.500, 0.000], [0.750, 0.250, 0.500], [0.250, 0.750, 0.500]],
  "spacegroup": "I-4m2 (119)",
  "mass_density_g_cm3": 4.237,
  "energy_ev_per_cell": -18.792
}

no.,raw formation energy (eV per atom),offset from the most stable computed form (eV/atom),calculated volume (Å³/cell)
1,-0.88,0.000,112.2
2,-1.12,0.000,100.8
3,-0.29,0.584,90.3